Pm2HPd6Pb: optimized geometry, GGA-PBE.

Unit cell a=5.727 b=5.730 c=7.276 alpha=67.45 beta=66.99 gamma=60.76
Space group P-1 (No. 2)
One atom of each set of equivalent atoms:
Pm1 0.250 0.244 0.202 [2 per cell]
H1 0.500 0.500 0.500 [1 per cell]
Pd1 0.189 0.687 0.353 [2 per cell]
Pd2 0.292 0.299 0.722 [2 per cell]
Pd3 0.310 0.817 0.642 [2 per cell]
Pb1 0.000 0.000 0.000 [1 per cell]

Summary:
- Fermi-level density of states (states/eV/cell) = 4.15
- total energy (eV/atom) = -5.33